No. 1
InNiAsBr2 after structural relaxation, computed with GGA-PBE.

Results
raw total energy = -3.308 eV/atom
raw formation energy = -0.005 eV per atom
polymorph energy (0 for the lowest one) = 0.0000 eV per atom

a b c (Å): 5.3682 5.3682 4.4696
angles (deg): 90.00 90.00 90.00
Closest atoms and distances in Å follow each position.
Sites, in units of the cell vectors:
In1 0.0000 0.0000 0.0000  8 Br 3.49, 4 As 3.80
Ni1 0.5000 0.5000 0.5000  2 As 2.23
As1 0.5000 0.5000 0.0000  2 Ni 2.23
Br1 0.0000 0.5000 0.5000  2 Ni 2.68
Br2 0.5000 0.0000 0.5000  2 Ni 2.68

No. 2
LiZn3Au4 after structural relaxation, computed with GGA-PBE.

Results
raw total energy = -2.678 eV/atom
ΔH_f (0 K) = -323 meV/atom
polymorph energy (0 for the lowest one) = 0.0000 eV per atom

a b c (Å): 7.0049 7.0049 4.5352
angles (deg): 108.61 108.61 37.53
Closest atoms and distances in Å follow each position.
Sites, in units of the cell vectors:
Li1 0.0000 0.0000 0.0000  8 Au 2.73-2.75
Zn1 0.2492 0.2492 0.2480  8 Au 2.74-2.78
Zn2 0.5000 0.5000 0.5000  8 Au 2.73-2.75
Zn3 0.7508 0.7508 0.7520  8 Au 2.74-2.78
Au1 0.1238 0.1238 0.6229  6 Zn 2.73-2.76, 2 Li 2.74-2.75
Au2 0.3759 0.3759 0.8756  2 Li 2.73, 6 Zn 2.74-2.78
Au3 0.6241 0.6241 0.1244  2 Li 2.73, 6 Zn 2.74-2.78
Au4 0.8762 0.8762 0.3771  6 Zn 2.73-2.76, 2 Li 2.74-2.75

No. 3
Ni2Sb after structural relaxation, computed with GGA-PBE.

Results
raw total energy = -5.239 eV/atom
raw formation energy = -0.011 eV per atom

a b c (Å): 5.1730 5.1730 5.1730
angles (deg): 123.37 123.37 84.26
Closest atoms and distances in Å follow each position.
Sites, in units of the cell vectors:
Ni1 0.1852 0.6852 0.8705  5 Ni 2.53-2.57, 4 Sb 2.63
Ni2 0.3148 0.1852 0.5000  5 Ni 2.53-2.57, 4 Sb 2.63
Ni3 0.6852 0.8148 0.5000  5 Ni 2.53-2.57, 4 Sb 2.63
Ni4 0.8148 0.3148 0.1295  5 Ni 2.53-2.57, 4 Sb 2.63
Sb1 0.2500 0.2500 0.0000  8 Ni 2.63
Sb2 0.7500 0.7500 0.0000  8 Ni 2.63

No. 4
Pm4SiN2 after structural relaxation, computed with GGA-PBE.

Results
raw total energy = -6.871 eV/atom
raw formation energy = -1.003 eV per atom

a b c (Å): 6.4504 6.4504 12.6857
angles (deg): 90.00 90.00 145.92
Closest atoms and distances in Å follow each position.
Sites, in units of the cell vectors:
Pm1 0.0000 0.0000 0.0000  4 N 2.66
Pm2 0.0000 0.0000 0.5000  4 N 2.66
Pm3 0.2657 0.7343 0.6081  3 N 2.42-2.53
Pm4 0.2657 0.7343 0.8919  3 N 2.42-2.53
Pm5 0.4271 0.5729 0.2500  2 N 2.56
Pm6 0.5729 0.4271 0.7500  2 N 2.56
Pm7 0.7343 0.2657 0.1081  3 N 2.42-2.53
Pm8 0.7343 0.2657 0.3919  3 N 2.42-2.53
Si1 0.1048 0.8952 0.2500  6 Pm 2.89-3.06
Si2 0.8952 0.1048 0.7500  6 Pm 2.89-3.06
N1 0.3607 0.6393 0.0585  6 Pm 2.42-2.66
N2 0.3607 0.6393 0.4415  6 Pm 2.42-2.66
N3 0.6393 0.3607 0.5585  6 Pm 2.42-2.66
N4 0.6393 0.3607 0.9415  6 Pm 2.42-2.66

No. 5
LaMn2ReP after structural relaxation, computed with GGA-PBE.

Results
raw total energy = -7.554 eV/atom
ΔH_f (0 K) = 671 meV/atom

a b c (Å): 4.3843 4.3843 5.4670
angles (deg): 90.00 90.00 90.00
Closest atoms and distances in Å follow each position.
Sites, in units of the cell vectors:
La1 0.0000 0.0000 0.0000  2 P 2.73
Mn1 0.0000 0.5000 0.5000  2 P 2.19
Mn2 0.5000 0.0000 0.5000  2 P 2.19
Re1 0.5000 0.5000 0.0000  4 La 3.10
P1 0.0000 0.0000 0.5000  4 Mn 2.19